This record from Alexandria describes Pr6Bi2N after structural relaxation. The functional is PBE.

Size of the total moment (μB per formula unit): 1.23
Calculated total energy (eV per cell): -49.02
V (Å³/f.u.): 266
Raw formation energy (eV/atom): -0.473

a = 4.0295 Å, b = 8.8535 Å, c = 8.6597 Å
α = 120.74°, β = 90.00°, γ = 90.00°
Closest atoms and distances in Å follow each position.
Fractional positions:
Pr 0.5000 0.5737 0.0000  4 Bi 3.35, 6 Pr 3.63-3.73
Pr 0.5000 0.3892 0.3977  1 N 3.14, 4 Bi 3.29-3.36
Pr 0.5000 0.9915 0.6023  1 N 3.14, 4 Bi 3.29-3.36
Pr 0.0000 0.2333 0.0000  2 N 2.48
Pr 0.0000 0.7736 0.7873  2 N 3.07, 1 Pr 3.17, 1 Bi 3.43
Pr 0.0000 0.9863 0.2127  2 N 3.07, 1 Pr 3.17, 1 Bi 3.43
Bi 0.0000 0.3183 0.6549  9 Pr 3.29-3.58
Bi 0.0000 0.6633 0.3451  9 Pr 3.29-3.58
N 0.5000 0.0709 0.0000  2 Pr 2.48